DFT (SCAN) results for KSnH2 at its PBEsol-relaxed geometry.

Computed properties:
Raw total energy   -196.5 eV/cell
M_tot   2.49 Bohr magnetons per cell

Lattice parameters (Å, degrees): 6.3763 6.3763 6.3763 90.00 90.00 90.00
Closest atoms and distances in Å follow each position.
Space group Fm-3m (No. 225)
Asymmetric unit:
K: 0.0000 0.0000 0.0000 (multiplicity 4)  8 H 2.76
Sn: 0.0000 0.0000 0.5000 (multiplicity 4)  8 H 2.76
H: 0.2500 0.2500 0.2500 (multiplicity 8)  4 Sn 2.76, 4 K 2.76